1.
First-principles (GGA-PBE) data for HfScZnOs2 after structural relaxation, as listed in Alexandria.

a = 4.797 Å, b = 5.032 Å, c = 4.797 Å
α = 90.00°, β = 90.00°, γ = 90.00°
Fractional coordinates of all 5 atoms:
Zn 0.500 0.500 0.500
Hf 0.000 0.000 0.000
Os 0.500 0.000 0.000
Os 0.000 0.000 0.500
Sc 0.000 0.500 0.000

## Properties
- magnetic moment (μB per atom) = 0.000
- SG = P4/mmm, No. 123
- N(E_F) (states/eV per cell) = 4.22
- electronic total energy (eV per formula unit) = -31.9


2.
First-principles (GGA-PBE) data for SrTbEuSbO6 after structural relaxation, as listed in Alexandria.

a = 5.948 Å, b = 5.948 Å, c = 5.948 Å
α = 60.00°, β = 60.00°, γ = 60.00°
Fractional coordinates of all 10 atoms:
Sr 0.750 0.750 0.750
O 0.237 0.763 0.763
O 0.763 0.237 0.237
O 0.763 0.763 0.237
O 0.237 0.237 0.763
O 0.237 0.763 0.237
O 0.763 0.237 0.763
Sb 0.000 0.000 0.000
Eu 0.250 0.250 0.250
Tb 0.500 0.500 0.500

## Properties
- magnetic moment (μB per atom) = 0.700
- SG = F-43m, No. 216
- N(E_F) (states/eV per cell) = 6.19
- electronic total energy (eV per formula unit) = -76.4
- ΔE_f (raw) (eV/atom) = -2.597


Q: The lowest N(E_F) belongs to which entry?
A: HfScZnOs2